1.
Here is crystalline SrCuH6Ru at its relaxed geometry from Alexandria via LeMat-Bulk. Energies are from GGA-PBE.

Results
Final energy   -0.15100 Ha/atom
Space-group type   Amm2, No. 38

```
SrCuH6Ru
1.0
4.7376 0.0000 0.0000
0.0000 2.2674 4.2606
0.0000 -2.2674 4.2606
Sr Cu H Ru
1 1 6 1
direct
0.0000 0.0000 0.0000
0.5000 0.6626 0.6626
0.2550 0.5005 0.5005
0.2789 0.0297 0.4686
0.2789 0.4686 0.0297
0.7211 0.0297 0.4686
0.7211 0.4686 0.0297
0.7450 0.5005 0.5005
0.5000 0.3497 0.3497
```

2.
Here is crystalline Sr2CuH6Ru at its relaxed geometry from Alexandria via LeMat-Bulk. Energies are from GGA-PBE.

Results
Final energy   -0.14908 Ha/atom
Space-group type   P-3m1, No. 164

```
Sr2CuH6Ru
1.0
5.3194 0.0000 0.0000
-2.6597 4.6067 0.0000
0.0000 0.0000 5.0386
Sr Cu H Ru
2 1 6 1
direct
0.3333 0.6667 0.2305
0.6667 0.3333 0.7695
0.0000 0.0000 0.5000
0.1522 0.3043 0.7856
0.1522 0.8478 0.7856
0.3043 0.1522 0.2144
0.6957 0.8478 0.7856
0.8478 0.1522 0.2144
0.8478 0.6957 0.2144
0.0000 0.0000 0.0000
```

3.
Here is crystalline Ta2CuHRu at its relaxed geometry from Alexandria via LeMat-Bulk. Energies are from GGA-PBE.

Results
Offset from the most stable computed form   0 meV per atom
Space-group type   P4/mmm, No. 123

```
Ta2CuHRu
1.0
4.0656 0.0000 0.0000
0.0000 4.0656 0.0000
0.0000 0.0000 3.8858
Ta Cu H Ru
2 1 1 1
direct
0.0000 0.5000 0.0000
0.5000 0.0000 0.0000
0.0000 0.0000 0.5000
0.0000 0.0000 0.0000
0.5000 0.5000 0.5000
```